1.
The following is a DFT calculation (PBE) of a relaxed TaMn2NbCu crystal.

Output
Symmetry = P4/mmm
Size of the total moment = 0.0 μB/cell
Crystal system = tetragonal
DFT formation energy = 1595 meV/atom

a = 4.3217 Å, b = 4.3217 Å, c = 4.6158 Å
α = 90.00°, β = 90.00°, γ = 90.00°
Closest atoms and distances in Å follow each position.
Positions (direct):
Ta: 0.0000 0.0000 0.0000  4 Cu 3.06, 8 Mn 3.16
Mn: 0.0000 0.5000 0.5000  2 Nb 2.16
Mn: 0.5000 0.0000 0.5000  2 Nb 2.16
Nb: 0.5000 0.5000 0.5000  4 Mn 2.16, 2 Cu 2.31
Cu: 0.5000 0.5000 0.0000  2 Nb 2.31



2.
The following is a DFT calculation (PBE) of a relaxed Cu3SnS4 crystal.

Output
Symmetry = I-42m
Uncorrected formation energy = -340.7 meV/atom
Size of the total moment = 0.0 μB/cell
Crystal system = tetragonal

a = 6.6257 Å, b = 6.6257 Å, c = 6.6257 Å
α = 131.96°, β = 131.96°, γ = 70.28°
Closest atoms and distances in Å follow each position.
Positions (direct):
Cu: 0.0000 0.0000 0.0000  4 S 2.30
Cu: 0.2500 0.7500 0.5000  4 S 2.30
Cu: 0.7500 0.2500 0.5000  4 S 2.30
Sn: 0.5000 0.5000 0.0000  4 S 2.47
S: 0.1041 0.1041 0.4721  3 Cu 2.30, 1 Sn 2.47
S: 0.3680 0.8959 0.0000  3 Cu 2.30, 1 Sn 2.47
S: 0.6320 0.6320 0.5279  3 Cu 2.30, 1 Sn 2.47
S: 0.8959 0.3680 0.0000  3 Cu 2.30, 1 Sn 2.47



3.
The following is a DFT calculation (PBE) of a relaxed Ti2GaPb crystal.

Output
Symmetry = P4/mmm
Size of the total moment = 0.8 μB/cell
Crystal system = tetragonal
DFT formation energy = -34 meV/atom

a = 3.5206 Å, b = 3.5206 Å, c = 6.0798 Å
α = 90.00°, β = 90.00°, γ = 90.00°
Closest atoms and distances in Å follow each position.
Positions (direct):
Ti: 0.0000 0.0000 0.2157  1 Ti 2.62, 4 Ga 2.81
Ti: 0.0000 0.0000 0.7843  1 Ti 2.62, 4 Ga 2.81
Ga: 0.5000 0.5000 0.0000  8 Ti 2.81, 2 Pb 3.04
Pb: 0.5000 0.5000 0.5000  8 Ti 3.03, 2 Ga 3.04



4.
The following is a DFT calculation (PBE) of a relaxed Ba2MgHAu crystal.

Output
Symmetry = P4/mmm
Total DFT energy (no corrections) = -2.76 eV per atom
Size of the total moment = 0.0 μB/cell
Crystal system = tetragonal

a = 5.6284 Å, b = 5.6284 Å, c = 4.4051 Å
α = 90.00°, β = 90.00°, γ = 90.00°
Closest atoms and distances in Å follow each position.
Positions (direct):
Ba: 0.0000 0.5000 0.0000  2 H 2.81
Ba: 0.5000 0.0000 0.0000  2 H 2.81
Mg: 0.0000 0.0000 0.5000  2 H 2.20
H: 0.0000 0.0000 0.0000  2 Mg 2.20
Au: 0.5000 0.5000 0.5000  8 Ba 3.57, 4 Mg 3.98



5.
The following is a DFT calculation (PBE) of a relaxed TiNb2FeI crystal.

Output
Symmetry = P4/mmm
Uncorrected formation energy = 1782.9 meV/atom
Size of the total moment = 2.6 μB/cell
Crystal system = tetragonal

a = 5.0148 Å, b = 5.0148 Å, c = 4.8499 Å
α = 90.00°, β = 90.00°, γ = 90.00°
Closest atoms and distances in Å follow each position.
Positions (direct):
Ti: 0.0000 0.0000 0.0000  2 I 2.42
Nb: 0.0000 0.5000 0.5000  2 I 2.51
Nb: 0.5000 0.0000 0.5000  2 I 2.51
Fe: 0.5000 0.5000 0.0000  8 Nb 3.49, 4 Ti 3.55
I: 0.0000 0.0000 0.5000  2 Ti 2.42, 4 Nb 2.51



6.
The following is a DFT calculation (PBE) of a relaxed AcHgAs2 crystal.

Output
Symmetry = P4/mmm
Offset from the most stable computed form = 21.0 meV per atom
Size of the total moment = 0.0 μB/cell
Crystal system = tetragonal
DFT formation energy = -559 meV/atom

a = 4.8960 Å, b = 4.8960 Å, c = 4.2470 Å
α = 90.00°, β = 90.00°, γ = 90.00°
Closest atoms and distances in Å follow each position.
Positions (direct):
Ac: 0.0000 0.0000 0.0000  8 As 3.24, 4 Hg 3.46
Hg: 0.5000 0.5000 0.0000  8 As 3.24, 4 Ac 3.46
As: 0.0000 0.5000 0.5000  4 Hg 3.24, 4 Ac 3.24, 4 As 3.46
As: 0.5000 0.0000 0.5000  4 Hg 3.24, 4 Ac 3.24, 4 As 3.46



Among the records above, which one has the highest size of the total moment?
TiNb2FeI



size of the total moment of number 6 (AcHgAs2)?
0.0 μB/cell